No. 1
# CuPPb | the Open Quantum Materials Database | PBE | optimized geometry
data_CuPPb
_chemical_formula_sum 'Cu4 P4 Pb4'
_symmetry_space_group_name_H-M 'P n m a'
_symmetry_Int_Tables_number 62
_cell_length_a 8.733
_cell_length_b 4.002
_cell_length_c 6.927
_cell_angle_alpha 90.00
_cell_angle_beta 90.00
_cell_angle_gamma 90.00
loop_
_symmetry_equiv_pos_as_xyz
'x,y,z'
'-x,-y,-z'
'-x+1/2,-y,z+1/2'
'x+1/2,y,-z+1/2'
'x+1/2,-y+1/2,-z+1/2'
'-x+1/2,y+1/2,z+1/2'
'-x,y+1/2,-z'
'x,-y+1/2,z'
loop_
_atom_site_label
_atom_site_fract_x
_atom_site_fract_y
_atom_site_fract_z
_atom_site_occupancy
Cu1 0.248 0.250 0.082 1
P1 0.246 0.750 0.916 1
Pb1 0.000 0.250 0.748 1
# Energy above the most stable polymorph in this dataset, meV per atom: 1
# Calculated total energy, eV per atom: -4.30

***

No. 2
# Nb2Bi2O5 | the Open Quantum Materials Database | PBE | optimized geometry
data_Nb2Bi2O5
_chemical_formula_sum 'Nb2 Bi2 O5'
_symmetry_space_group_name_H-M 'P 4/m m m'
_symmetry_Int_Tables_number 123
_symmetry_space_group_name_Hall '-P 4 2'
_cell_length_a 3.444
_cell_length_b 3.444
_cell_length_c 10.701
_cell_angle_alpha 90.00
_cell_angle_beta 90.00
_cell_angle_gamma 90.00
loop_
_atom_site_label
_atom_site_fract_x
_atom_site_fract_y
_atom_site_fract_z
_atom_site_occupancy
Nb1 0.000 0.000 0.000 1
Nb2 0.000 0.000 0.500 1
Bi1 0.500 0.500 0.236 1
O1 0.000 0.500 0.386 1
O2 0.500 0.500 0.000 1
# Energy above the most stable polymorph in this dataset, meV per atom: 202
# Calculated total energy, eV per atom: -7.05

***

No. 3
# GdAlPt | the Open Quantum Materials Database | PBE | optimized geometry
data_GdAlPt
_chemical_formula_sum 'Gd2 Al2 Pt2'
_symmetry_space_group_name_H-M 'P 63/m m c'
_symmetry_Int_Tables_number 194
_symmetry_space_group_name_Hall '-P 6c 2c'
_cell_length_a 4.8525
_cell_length_b 4.8525
_cell_length_c 5.8729
_cell_angle_alpha 90.00
_cell_angle_beta 90.00
_cell_angle_gamma 120.00
loop_
_atom_site_label
_atom_site_fract_x
_atom_site_fract_y
_atom_site_fract_z
_atom_site_occupancy
Gd1 0.3333 0.6667 0.2500 1
Al1 0.3333 0.6667 0.7500 1
Pt1 0.0000 0.0000 0.0000 1
# Calculated total energy, eV per atom: -5.28